# 1
Density functional theory data (PBE-GGA) for a geometry-optimized InGe2C2 structure.

Cell: 3.859 3.859 7.492 Å, 75.08 75.08 90.00°
Element x y z (fractional)
Ge 0.750 0.250 0.500
Ge 0.250 0.750 0.500
C 0.198 0.198 0.605
C 0.802 0.802 0.395
In 0.000 0.000 0.000

Calculated values
energy relative to the elements: 589.1 kJ/mol of formula units

# 2
Density functional theory data (PBE-GGA) for a geometry-optimized NaCuSbI2 structure.

Cell: 5.856 5.856 4.926 Å, 90.00 90.00 90.00°
Element x y z (fractional)
I 0.000 0.500 0.000
I 0.500 0.000 0.000
Sb 0.000 0.000 0.500
Cu 0.000 0.000 0.000
Na 0.500 0.500 0.500

Calculated values
E_form (uncorrected): -66 meV/atom

Record order is preserved below.
E_tot: -4.863 -2.594 eV/atom
Record order is preserved below.
Offset from the most stable computed form: 30 0 meV per atom
Record order is preserved below.
Size of the total moment: 0.000 0.818 μB/cell